# La2SmP2N6, optimized geometry, DFT PBE-GGA
# Formation energy without anion corrections (kJ/mol of atoms): -101.9
# ρ (kg/m3): 5869
# Total magnetization (μB per cell): 0.00
# Fermi-level density of states (states/eV/f.u.): 2.9
# Symmetry: C2/m
# Crystal system: monoclinic
# Calculated total energy (eV/atom): -7.906
data_La2SmP2N6
_chemical_formula_sum 'La2 Sm1 P2 N6'
_cell_length_a 5.660
_cell_length_b 5.660
_cell_length_c 6.788
_cell_angle_alpha 115.48
_cell_angle_beta 115.48
_cell_angle_gamma 59.27
_space_group_name_H-M_alt 'P 1'
_space_group_IT_number 1
_space_group_name_Hall 'P 1'
loop_
_atom_site_label
_atom_site_type_symbol
_atom_site_fract_x
_atom_site_fract_y
_atom_site_fract_z
La1 La 0.204 0.204 0.180
La2 La 0.796 0.796 0.820
Sm1 Sm 0.000 0.000 0.500
P1 P 0.457 0.457 0.738
P2 P 0.543 0.543 0.262
N1 N 0.203 0.691 0.175
N2 N 0.272 0.272 0.630
N3 N 0.309 0.797 0.825
N4 N 0.691 0.203 0.175
N5 N 0.728 0.728 0.370
N6 N 0.797 0.309 0.825

=====

# La2SnPN5, optimized geometry, DFT PBE-GGA
# Formation energy without anion corrections (kJ/mol of atoms): -61.8
# ρ (kg/m3): 6422
# Total magnetization (μB per cell): 0.00
# Symmetry: Cmc2_1
# Crystal system: orthorhombic
# Calculated total energy (eV/atom): -7.406
data_La2SnPN5
_chemical_formula_sum 'La4 Sn2 P2 N10'
_cell_length_a 7.676
_cell_length_b 7.676
_cell_length_c 10.544
_cell_angle_alpha 90.00
_cell_angle_beta 90.00
_cell_angle_gamma 155.53
_space_group_name_H-M_alt 'P 1'
_space_group_IT_number 1
_space_group_name_Hall 'P 1'
loop_
_atom_site_label
_atom_site_type_symbol
_atom_site_fract_x
_atom_site_fract_y
_atom_site_fract_z
La1 La 0.117 0.883 0.500
La2 La 0.127 0.873 0.151
La3 La 0.873 0.127 0.651
La4 La 0.883 0.117 0.000
Sn1 Sn 0.206 0.794 0.864
Sn2 Sn 0.794 0.206 0.364
P1 P 0.447 0.553 0.253
P2 P 0.553 0.447 0.753
N1 N 0.033 0.967 0.834
N2 N 0.294 0.706 0.504
N3 N 0.337 0.663 0.231
N4 N 0.346 0.654 0.836
N5 N 0.499 0.501 0.120
N6 N 0.501 0.499 0.620
N7 N 0.654 0.346 0.336
N8 N 0.663 0.337 0.731
N9 N 0.706 0.294 0.004
N10 N 0.967 0.033 0.334

=====

# LaSnPN2, optimized geometry, DFT PBE-GGA
# Formation energy without anion corrections (kJ/mol of atoms): 86.6
# ρ (kg/m3): 6069
# Total magnetization (μB per cell): 0.00
# Fermi-level density of states (states/eV/f.u.): 3.7
# Symmetry: P4/mmm
# Crystal system: tetragonal
# Calculated total energy (eV/atom): -5.300
data_LaSnPN2
_chemical_formula_sum 'La1 Sn1 P1 N2'
_cell_length_a 4.246
_cell_length_b 4.246
_cell_length_c 4.805
_cell_angle_alpha 90.00
_cell_angle_beta 90.00
_cell_angle_gamma 90.00
_space_group_name_H-M_alt 'P 1'
_space_group_IT_number 1
_space_group_name_Hall 'P 1'
loop_
_atom_site_label
_atom_site_type_symbol
_atom_site_fract_x
_atom_site_fract_y
_atom_site_fract_z
La1 La 0.000 0.000 0.000
Sn1 Sn 0.500 0.500 0.000
P1 P 0.500 0.500 0.500
N1 N 0.000 0.500 0.500
N2 N 0.500 0.000 0.500

=====

# SrLa2P2N6, optimized geometry, DFT PBE-GGA
# Formation energy without anion corrections (kJ/mol of atoms): -96.1
# ρ (kg/m3): 4930
# Total magnetization (μB per cell): 0.00
# Fermi-level density of states (states/eV/f.u.): 0.0
# Symmetry: P-1
# Crystal system: triclinic
# Calculated total energy (eV/atom): -7.570
data_SrLa2P2N6
_chemical_formula_sum 'Sr1 La2 P2 N6'
_cell_length_a 5.475
_cell_length_b 6.041
_cell_length_c 6.562
_cell_angle_alpha 111.99
_cell_angle_beta 96.52
_cell_angle_gamma 115.16
_space_group_name_H-M_alt 'P 1'
_space_group_IT_number 1
_space_group_name_Hall 'P 1'
loop_
_atom_site_label
_atom_site_type_symbol
_atom_site_fract_x
_atom_site_fract_y
_atom_site_fract_z
Sr1 Sr 0.000 0.000 0.000
La1 La 0.250 0.423 0.672
La2 La 0.750 0.577 0.328
P1 P 0.334 0.772 0.265
P2 P 0.666 0.228 0.735
N1 N 0.207 0.513 0.319
N2 N 0.207 0.971 0.352
N3 N 0.477 0.218 0.899
N4 N 0.523 0.782 0.101
N5 N 0.793 0.029 0.648
N6 N 0.793 0.487 0.681

=====

# La3Ta2P2N4, optimized geometry, DFT PBE-GGA
# Formation energy without anion corrections (kJ/mol of atoms): -130.1
# ρ (kg/m3): 7769
# Total magnetization (μB per cell): 0.00
# Fermi-level density of states (states/eV/f.u.): 2.7
# Symmetry: I4/mmm
# Crystal system: tetragonal
# Calculated total energy (eV/atom): -8.858
data_La3Ta2P2N4
_chemical_formula_sum 'La3 Ta2 P2 N4'
_cell_length_a 11.484
_cell_length_b 11.484
_cell_length_c 11.484
_cell_angle_alpha 159.16
_cell_angle_beta 159.16
_cell_angle_gamma 29.64
_space_group_name_H-M_alt 'P 1'
_space_group_IT_number 1
_space_group_name_Hall 'P 1'
loop_
_atom_site_label
_atom_site_type_symbol
_atom_site_fract_x
_atom_site_fract_y
_atom_site_fract_z
La1 La 0.000 0.000 0.000
La2 La 0.165 0.165 0.000
La3 La 0.835 0.835 0.000
Ta1 Ta 0.413 0.413 0.000
Ta2 Ta 0.587 0.587 0.000
P1 P 0.303 0.303 0.000
P2 P 0.697 0.697 0.000
N1 N 0.077 0.577 0.500
N2 N 0.423 0.923 0.500
N3 N 0.577 0.077 0.500
N4 N 0.923 0.423 0.500

=====

# La2TbP2N6, optimized geometry, DFT PBE-GGA
# Formation energy without anion corrections (kJ/mol of atoms): -105.3
# ρ (kg/m3): 6072
# Total magnetization (μB per cell): 0.00
# Fermi-level density of states (states/eV/f.u.): 2.7
# Symmetry: C2/m
# Crystal system: monoclinic
# Calculated total energy (eV/atom): -7.932
data_La2TbP2N6
_chemical_formula_sum 'La2 Tb1 P2 N6'
_cell_length_a 5.628
_cell_length_b 5.628
_cell_length_c 6.715
_cell_angle_alpha 115.38
_cell_angle_beta 115.38
_cell_angle_gamma 59.49
_space_group_name_H-M_alt 'P 1'
_space_group_IT_number 1
_space_group_name_Hall 'P 1'
loop_
_atom_site_label
_atom_site_type_symbol
_atom_site_fract_x
_atom_site_fract_y
_atom_site_fract_z
La1 La 0.204 0.204 0.182
La2 La 0.796 0.796 0.818
Tb1 Tb 0.000 0.000 0.500
P1 P 0.454 0.454 0.733
P2 P 0.546 0.546 0.267
N1 N 0.204 0.695 0.182
N2 N 0.269 0.269 0.631
N3 N 0.305 0.796 0.818
N4 N 0.695 0.204 0.182
N5 N 0.731 0.731 0.369
N6 N 0.796 0.305 0.818

=====

# LaTe2PN, optimized geometry, DFT PBE-GGA
# Formation energy without anion corrections (kJ/mol of atoms): 69.7
# ρ (kg/m3): 4540
# Total magnetization (μB per cell): 0.35
# Fermi-level density of states (states/eV/f.u.): 4.9
# Symmetry: P4/mmm
# Crystal system: tetragonal
# ΔE to the lowest computed polymorph (meV per atom): 853
# Calculated total energy (eV/atom): -4.267
data_LaTe2PN
_chemical_formula_sum 'La1 Te2 P1 N1'
_cell_length_a 6.328
_cell_length_b 6.328
_cell_length_c 4.011
_cell_angle_alpha 90.00
_cell_angle_beta 90.00
_cell_angle_gamma 90.00
_space_group_name_H-M_alt 'P 1'
_space_group_IT_number 1
_space_group_name_Hall 'P 1'
loop_
_atom_site_label
_atom_site_type_symbol
_atom_site_fract_x
_atom_site_fract_y
_atom_site_fract_z
La1 La 0.000 0.000 0.000
Te1 Te 0.000 0.500 0.000
Te2 Te 0.500 0.000 0.000
P1 P 0.500 0.500 0.500
N1 N 0.000 0.000 0.500

=====

# La8Te4P3N, optimized geometry, DFT PBE-GGA
# Formation energy without anion corrections (kJ/mol of atoms): -151.3
# ρ (kg/m3): 6103
# Total magnetization (μB per cell): 0.00
# Fermi-level density of states (states/eV/f.u.): 6.0
# Symmetry: R-3m
# Crystal system: trigonal
# Calculated total energy (eV/atom): -6.352
data_La8Te4P3N
_chemical_formula_sum 'La8 Te4 P3 N1'
_cell_length_a 8.918
_cell_length_b 8.918
_cell_length_c 8.918
_cell_angle_alpha 57.30
_cell_angle_beta 57.30
_cell_angle_gamma 57.30
_space_group_name_H-M_alt 'P 1'
_space_group_IT_number 1
_space_group_name_Hall 'P 1'
loop_
_atom_site_label
_atom_site_type_symbol
_atom_site_fract_x
_atom_site_fract_y
_atom_site_fract_z
La1 La 0.239 0.239 0.239
La2 La 0.254 0.726 0.726
La3 La 0.274 0.274 0.746
La4 La 0.274 0.746 0.274
La5 La 0.726 0.254 0.726
La6 La 0.726 0.726 0.254
La7 La 0.746 0.274 0.274
La8 La 0.761 0.761 0.761
Te1 Te 0.000 0.000 0.000
Te2 Te 0.000 0.500 0.500
Te3 Te 0.500 0.000 0.500
Te4 Te 0.500 0.500 0.000
P1 P 0.000 0.000 0.500
P2 P 0.000 0.500 0.000
P3 P 0.500 0.000 0.000
N1 N 0.500 0.500 0.500

=====

# La4Te2PN, optimized geometry, DFT PBE-GGA
# Formation energy without anion corrections (kJ/mol of atoms): -143.5
# ρ (kg/m3): 6327
# Total magnetization (μB per cell): 0.00
# Fermi-level density of states (states/eV/f.u.): 3.6
# Symmetry: P2/m
# Crystal system: monoclinic
# Calculated total energy (eV/atom): -6.453
data_La4Te2PN
_chemical_formula_sum 'La4 Te2 P1 N1'
_cell_length_a 7.252
_cell_length_b 4.192
_cell_length_c 7.774
_cell_angle_alpha 90.00
_cell_angle_beta 108.12
_cell_angle_gamma 90.00
_space_group_name_H-M_alt 'P 1'
_space_group_IT_number 1
_space_group_name_Hall 'P 1'
loop_
_atom_site_label
_atom_site_type_symbol
_atom_site_fract_x
_atom_site_fract_y
_atom_site_fract_z
La1 La 0.216 0.000 0.197
La2 La 0.243 0.500 0.796
La3 La 0.757 0.500 0.204
La4 La 0.784 0.000 0.803
Te1 Te 0.000 0.000 0.500
Te2 Te 0.500 0.500 0.500
P1 P 0.500 0.000 0.000
N1 N 0.000 0.500 0.000

=====

# LaTe2PN, optimized geometry, DFT PBE-GGA
# Formation energy without anion corrections (kJ/mol of atoms): -12.6
# ρ (kg/m3): 6200
# Total magnetization (μB per cell): 0.08
# Fermi-level density of states (states/eV/f.u.): 2.8
# Symmetry: P4/mmm
# Crystal system: tetragonal
# ΔE to the lowest computed polymorph (meV per atom): 0
# Calculated total energy (eV/atom): -5.120
data_LaTe2PN
_chemical_formula_sum 'La1 Te2 P1 N1'
_cell_length_a 5.873
_cell_length_b 5.873
_cell_length_c 3.410
_cell_angle_alpha 90.00
_cell_angle_beta 90.00
_cell_angle_gamma 90.00
_space_group_name_H-M_alt 'P 1'
_space_group_IT_number 1
_space_group_name_Hall 'P 1'
loop_
_atom_site_label
_atom_site_type_symbol
_atom_site_fract_x
_atom_site_fract_y
_atom_site_fract_z
La1 La 0.000 0.000 0.000
Te1 Te 0.000 0.500 0.500
Te2 Te 0.500 0.000 0.500
P1 P 0.500 0.500 0.500
N1 N 0.500 0.500 0.000

=====

# LaTePN2, optimized geometry, DFT PBE-GGA
# Formation energy without anion corrections (kJ/mol of atoms): 97.3
# ρ (kg/m3): 4319
# Total magnetization (μB per cell): 0.86
# Fermi-level density of states (states/eV/f.u.): 4.4
# Symmetry: P4/mmm
# Crystal system: tetragonal
# ΔE to the lowest computed polymorph (meV per atom): 403
# Calculated total energy (eV/atom): -5.017
data_LaTePN2
_chemical_formula_sum 'La1 Te1 P1 N2'
_cell_length_a 4.176
_cell_length_b 4.176
_cell_length_c 7.176
_cell_angle_alpha 90.00
_cell_angle_beta 90.00
_cell_angle_gamma 90.00
_space_group_name_H-M_alt 'P 1'
_space_group_IT_number 1
_space_group_name_Hall 'P 1'
loop_
_atom_site_label
_atom_site_type_symbol
_atom_site_fract_x
_atom_site_fract_y
_atom_site_fract_z
La1 La 0.000 0.000 0.000
Te1 Te 0.000 0.000 0.500
P1 P 0.500 0.500 0.500
N1 N 0.000 0.500 0.000
N2 N 0.500 0.000 0.000